Entry 1:
First-principles (GGA-PBE) data for a relaxed Y2Cl crystal, as listed in the Alexandria database.

Unit cell a=13.4257 b=3.6206 c=7.9883 alpha=90.00 beta=118.23 gamma=90.00
Space group C2/m (No. 12)
One atom of each set of equivalent atoms:
Y (0.0093, 0.0000, 0.3066) [4 per cell]
Y (0.2218, 0.5000, 0.6742) [4 per cell]
Cl (0.1353, 0.5000, 0.9819) [4 per cell]

***

Entry 2:
First-principles (GGA-PBE) data for a relaxed MgTcC3 crystal, as listed in the Alexandria database.

Unit cell a=4.0104 b=4.0104 c=4.0104 alpha=90.00 beta=90.00 gamma=90.00
Space group Pm-3m (No. 221)
One atom of each set of equivalent atoms:
Mg (0.0000, 0.0000, 0.0000) [1 per cell]
Tc (0.5000, 0.5000, 0.5000) [1 per cell]
C (0.0000, 0.5000, 0.5000) [3 per cell]

Results
DFT formation energy, eV/atom: 1.5531

***

Entry 3:
First-principles (GGA-PBE) data for a relaxed KSiPd2N crystal, as listed in the Alexandria database.

Unit cell a=4.8703 b=4.8703 c=3.5223 alpha=90.00 beta=90.00 gamma=90.00
Space group P4/mmm (No. 123)
One atom of each set of equivalent atoms:
K (0.0000, 0.0000, 0.0000) [1 per cell]
Si (0.5000, 0.5000, 0.0000) [1 per cell]
Pd (0.0000, 0.5000, 0.5000) [2 per cell]
N (0.5000, 0.5000, 0.5000) [1 per cell]

***

Entry 4:
First-principles (GGA-PBE) data for a relaxed SnIrOsC crystal, as listed in the Alexandria database.

Unit cell a=3.4294 b=3.4294 c=6.4986 alpha=90.00 beta=90.00 gamma=120.00
Space group P3m1 (No. 156)
One atom of each set of equivalent atoms:
Sn (0.0000, 0.0000, 0.0000) [1 per cell]
Ir (0.6667, 0.3333, 0.2705) [1 per cell]
Os (0.0000, 0.0000, 0.5875) [1 per cell]
C (0.6667, 0.3333, 0.5959) [1 per cell]

Results
DFT formation energy, eV/atom: 0.4288

***

Entry 5:
First-principles (GGA-PBE) data for a relaxed AsOsRu2 crystal, as listed in the Alexandria database.

Unit cell a=3.8832 b=3.8832 c=7.5624 alpha=90.00 beta=90.00 gamma=90.00
Space group I-4m2 (No. 119)
One atom of each set of equivalent atoms:
As (0.0000, 0.0000, 0.0000) [2 per cell]
Os (0.0000, 0.5000, 0.7500) [2 per cell]
Ru (0.0000, 0.0000, 0.5000) [2 per cell]
Ru (0.0000, 0.5000, 0.2500) [2 per cell]

Results
DFT formation energy, eV/atom: 0.3047

***

Entry 6:
First-principles (GGA-PBE) data for a relaxed HoPaPN4 crystal, as listed in the Alexandria database.

Unit cell a=6.3041 b=6.5047 c=8.8968 alpha=90.00 beta=90.00 gamma=90.00
Space group Imma (No. 74)
One atom of each set of equivalent atoms:
Ho (0.2500, 0.2500, 0.2500) [4 per cell]
Pa (0.0000, 0.0000, 0.0000) [4 per cell]
P (0.0000, 0.2500, 0.6331) [4 per cell]
N (0.0000, 0.0370, 0.7461) [8 per cell]
N (0.2200, 0.2500, 0.5216) [8 per cell]

***

Entry 7:
First-principles (GGA-PBE) data for a relaxed Cd4Ir5 crystal, as listed in the Alexandria database.

Unit cell a=8.5893 b=8.5893 c=4.1423 alpha=90.00 beta=90.00 gamma=90.00
Space group I4/mmm (No. 139)
One atom of each set of equivalent atoms:
Cd (0.0000, 0.3219, 0.0000) [8 per cell]
Ir (0.0000, 0.0000, 0.0000) [2 per cell]
Ir (0.1560, 0.1560, 0.5000) [8 per cell]

Results
DFT formation energy, eV/atom: 0.2834

***

Respective final energy values: -17.303 -31.867 -23.646 -31.602 -33.212 -59.240 -45.414 eV per formula unit.